No. 1
Density functional theory data (PBE-GGA) for a geometry-optimized ZnMo3C structure.

Unit cell a=4.147 b=4.147 c=4.147 alpha=90.00 beta=90.00 gamma=90.00
Fractional coordinates of all 5 atoms:
Zn  0.000  0.000  0.000
Mo  0.000  0.500  0.500
Mo  0.500  0.000  0.500
Mo  0.500  0.500  0.000
C  0.500  0.500  0.500

Output
D(E_F) = 0.708 states/eV per atom
DFT total energy = -8.405 eV/atom
energy of formation from the pure elements = 0.1933 eV per atom
spin magnetization = 0.00 μB per formula unit
polymorph energy (0 for the lowest one) = 0.000 eV per atom


No. 2
Density functional theory data (PBE-GGA) for a geometry-optimized ZnMo2C structure.

Unit cell a=5.854 b=5.854 c=5.854 alpha=90.00 beta=90.00 gamma=90.00
Fractional coordinates of all 16 atoms:
Zn  0.000  0.000  0.000
Zn  0.000  0.500  0.500
Zn  0.500  0.000  0.500
Zn  0.500  0.500  0.000
Mo  0.250  0.250  0.250
Mo  0.250  0.250  0.750
Mo  0.250  0.750  0.250
Mo  0.250  0.750  0.750
Mo  0.750  0.250  0.250
Mo  0.750  0.250  0.750
Mo  0.750  0.750  0.250
Mo  0.750  0.750  0.750
C  0.000  0.000  0.500
C  0.000  0.500  0.000
C  0.500  0.000  0.000
C  0.500  0.500  0.500

Output
D(E_F) = 0.626 states/eV per atom
DFT total energy = -7.007 eV/atom
energy of formation from the pure elements = 1.0331 eV per atom
spin magnetization = 0.00 μB per formula unit
polymorph energy (0 for the lowest one) = 1.053 eV per atom


No. 3
Density functional theory data (PBE-GGA) for a geometry-optimized ZnMoC2 structure.

Unit cell a=4.766 b=4.766 c=9.324 alpha=90.00 beta=90.00 gamma=90.00
Fractional coordinates of all 16 atoms:
Zn  0.000  0.000  0.000
Zn  0.000  0.500  0.250
Zn  0.500  0.000  0.750
Zn  0.500  0.500  0.500
Mo  0.000  0.000  0.500
Mo  0.000  0.500  0.750
Mo  0.500  0.000  0.250
Mo  0.500  0.500  0.000
C  0.222  0.250  0.625
C  0.250  0.722  0.875
C  0.250  0.778  0.375
C  0.278  0.250  0.125
C  0.722  0.750  0.125
C  0.750  0.222  0.375
C  0.750  0.278  0.875
C  0.778  0.750  0.625

Output
D(E_F) = 0.164 states/eV per atom
DFT total energy = -6.938 eV/atom
energy of formation from the pure elements = 0.7005 eV per atom
spin magnetization = 0.00 μB per formula unit


No. 4
Density functional theory data (PBE-GGA) for a geometry-optimized ZnMo2C structure.

Unit cell a=3.049 b=3.049 c=20.247 alpha=90.00 beta=90.00 gamma=120.00
Fractional coordinates of all 12 atoms:
Zn  0.000  0.000  0.000
Zn  0.333  0.667  0.667
Zn  0.667  0.333  0.333
Mo  0.000  0.000  0.224
Mo  0.000  0.000  0.776
Mo  0.333  0.667  0.443
Mo  0.333  0.667  0.891
Mo  0.667  0.333  0.109
Mo  0.667  0.333  0.557
C  0.000  0.000  0.500
C  0.333  0.667  0.167
C  0.667  0.333  0.833

Output
D(E_F) = 0.915 states/eV per atom
DFT total energy = -7.997 eV/atom
energy of formation from the pure elements = 0.0427 eV per atom
spin magnetization = 0.00 μB per formula unit
polymorph energy (0 for the lowest one) = 0.062 eV per atom